1.
Computed, not measured: PmPr2Ho7 after structural relaxation at the GGA-PBE level of DFT.

Values from the calculation:
Crystal system ... triclinic
ΔE to the lowest computed polymorph ... 0 meV per atom
ΔH_f (0 K) ... 0.185 eV per formula unit

Unit cell a=6.1686 b=7.1460 c=8.0013 alpha=76.92 beta=75.12 gamma=73.61
Space group P-1 (No. 2)
One atom of each set of equivalent atoms:
Pm (0.0000, 0.0000, 0.0000) [1 per cell]
Pr (0.2025, 0.7973, 0.6000) [2 per cell]
Ho (0.0000, 0.5000, 0.0000) [1 per cell]
Ho (0.1992, 0.3008, 0.6015) [2 per cell]
Ho (0.3995, 0.1011, 0.1982) [2 per cell]
Ho (0.4001, 0.5998, 0.1975) [2 per cell]

---

2.
Computed, not measured: CdN3O after structural relaxation at the GGA-PBE level of DFT.

Values from the calculation:
Crystal system ... cubic
ΔE_f (raw) ... 3.08 eV/atom

Unit cell a=4.3239 b=4.3239 c=4.3239 alpha=90.00 beta=90.00 gamma=90.00
Space group Pm-3m (No. 221)
One atom of each set of equivalent atoms:
Cd (0.0000, 0.0000, 0.0000) [1 per cell]
N (0.0000, 0.0000, 0.5000) [3 per cell]
O (0.5000, 0.5000, 0.5000) [1 per cell]

---

3.
Computed, not measured: MgSeBr3 after structural relaxation at the GGA-PBE level of DFT.

Values from the calculation:
Crystal system ... cubic
ΔE to the lowest computed polymorph ... 0 meV per atom
ΔE_f (raw) ... -0.36 eV/atom

Unit cell a=5.3120 b=5.3120 c=5.3120 alpha=90.00 beta=90.00 gamma=90.00
Space group Pm-3m (No. 221)
One atom of each set of equivalent atoms:
Mg (0.0000, 0.0000, 0.0000) [1 per cell]
Se (0.5000, 0.5000, 0.5000) [1 per cell]
Br (0.0000, 0.0000, 0.5000) [3 per cell]

---

4.
Computed, not measured: BeInRe after structural relaxation at the GGA-PBE level of DFT.

Values from the calculation:
Crystal system ... trigonal
ΔE to the lowest computed polymorph ... 191 meV per atom
ΔH_f (0 K) ... 1.577 eV per formula unit

Unit cell a=4.3292 b=4.3292 c=2.7900 alpha=90.00 beta=90.00 gamma=120.00
Space group P3m1 (No. 156)
One atom of each set of equivalent atoms:
Be (0.0000, 0.0000, 0.0000) [1 per cell]
In (0.6667, 0.3333, 0.2391) [1 per cell]
Re (0.3333, 0.6667, 0.7384) [1 per cell]

---

5.
Computed, not measured: ThPaRuSe after structural relaxation at the GGA-PBE level of DFT.

Values from the calculation:
Crystal system ... trigonal
ΔE_f (raw) ... -0.89 eV/atom

Unit cell a=3.9598 b=3.9598 c=22.3889 alpha=90.00 beta=90.00 gamma=120.00
Space group R3m (No. 160, hexagonal axes)
One atom of each set of equivalent atoms:
Th (0.0000, 0.0000, 0.0000) [3 per cell]
Pa (0.0000, 0.0000, 0.8106) [3 per cell]
Ru (0.0000, 0.0000, 0.4144) [3 per cell]
Se (0.0000, 0.0000, 0.2363) [3 per cell]